# 1
First-principles (GGA-PBE) data for crystalline NaZr at its relaxed geometry, as listed in OQMD via LeMat-Bulk.

a b c (Å): 5.8662 9.9218 5.1977
angles (deg): 90.00 90.00 90.02
With the nearest neighbours (Å) after each atom.
Fractional positions:
Na (0.5239, 0.1696, 0.0000)  6 Na 3.12-3.40, 2 Zr 3.31-3.38
Na (0.0239, 0.9972, 0.0000)  6 Na 3.12-3.40, 2 Zr 3.31-3.39
Na (0.3178, 0.0002, 0.5000)  7 Na 3.12-3.37, 1 Zr 3.40
Na (0.8177, 0.1666, 0.5000)  7 Na 3.12-3.37, 1 Zr 3.40
Na (0.8030, 0.4864, 0.5000)  9 Zr 3.09-3.32, 1 Na 3.18
Na (0.3031, 0.6800, 0.5000)  9 Zr 3.09-3.32, 1 Na 3.18
Zr (0.0571, 0.3562, 0.0000)  4 Zr 2.93-3.06, 2 Na 3.26
Zr (0.5096, 0.5106, 0.0000)  6 Zr 2.99-3.27, 4 Na 3.13-3.32
Zr (0.0096, 0.6560, 0.0000)  6 Zr 2.99-3.27, 4 Na 3.13-3.32
Zr (0.5570, 0.8104, 0.0000)  4 Zr 2.93-3.07, 2 Na 3.26
Zr (0.2886, 0.3664, 0.5000)  4 Zr 2.93-3.24, 3 Na 3.09-3.24
Zr (0.7886, 0.8002, 0.5000)  4 Zr 2.93-3.24, 3 Na 3.09-3.25

***

# 2
First-principles (GGA-PBE) data for crystalline Pm2As2O5 at its relaxed geometry, as listed in OQMD via LeMat-Bulk.

a b c (Å): 9.6673 3.7475 3.7475
angles (deg): 90.00 90.00 90.00
With the nearest neighbours (Å) after each atom.
Fractional positions:
As (0.0000, 0.0000, 0.0000)  8 O 2.25
As (0.5000, 0.0000, 0.0000)  4 O 2.65
O (0.1288, 0.5000, 0.0000)  2 Pm 2.23, 2 As 2.25, 1 O 2.49
O (0.8712, 0.5000, 0.0000)  2 Pm 2.23, 2 As 2.25, 1 O 2.49
O (0.1288, 0.0000, 0.5000)  2 Pm 2.23, 2 As 2.25, 1 O 2.49
O (0.8712, 0.0000, 0.5000)  2 Pm 2.23, 2 As 2.25, 1 O 2.49
O (0.5000, 0.5000, 0.5000)  2 Pm 2.37, 4 As 2.65
Pm (0.2548, 0.5000, 0.5000)  5 O 2.23-2.37
Pm (0.7452, 0.5000, 0.5000)  5 O 2.23-2.37

***

# 3
First-principles (GGA-PBE) data for crystalline MoI2BrCl2 at its relaxed geometry, as listed in OQMD via LeMat-Bulk.

a b c (Å): 6.5645 7.1421 10.0415
angles (deg): 106.32 92.66 114.31
With the nearest neighbours (Å) after each atom.
Fractional positions:
Br (0.4438, 0.5651, 0.3308)  1 Mo 2.43
Br (0.5562, 0.4349, 0.6692)  1 Mo 2.43
Cl (0.8981, 0.3748, 0.1470)  1 Mo 2.31
Cl (0.2902, 0.0121, 0.2490)  1 Mo 2.31
Cl (0.7098, 0.9879, 0.7510)  1 Mo 2.31
Cl (0.1019, 0.6252, 0.8530)  1 Mo 2.31
I (0.7388, 0.8099, 0.0475)  2 Mo 2.87-2.89
I (0.9217, 0.1955, 0.4437)  1 Mo 2.65
I (0.0783, 0.8045, 0.5563)  1 Mo 2.65
I (0.2612, 0.1901, 0.9525)  2 Mo 2.87-2.89
Mo (0.1111, 0.2197, 0.2183)  2 Cl 2.31, 1 Br 2.43
Mo (0.8889, 0.7803, 0.7817)  2 Cl 2.31, 1 Br 2.43

***

Number 1: ΔE to the lowest computed polymorph 0.339 eV per atom, total energy -4.3394 eV/atom. Number 2: ΔE to the lowest computed polymorph 0.051 eV per atom, total energy -6.5229 eV/atom. Number 3: ΔE to the lowest computed polymorph 0.006 eV per atom, total energy -3.6595 eV/atom.